# 1
This record from Alexandria via LeMat-Bulk describes a relaxed Ho6P5Se crystal. The functional is PBE.

Properties
Uncorrected formation energy in eV per formula unit: -20.3
Total moment in μB/cell: 0.00

abc: 6.9237 6.9237 6.9292
angles: 99.60 99.60 119.95
With the nearest neighbours (Å) after each atom.
Positions (direct):
Ho (0.0720, 0.4148, 0.7447)  5 P 2.78-2.84, 1 Se 2.90
Ho (0.2423, 0.2423, 0.2552)  5 P 2.76-2.82, 1 Se 2.90
Ho (0.4148, 0.0720, 0.7447)  5 P 2.78-2.84, 1 Se 2.90
Ho (0.5852, 0.9280, 0.2553)  5 P 2.78-2.84, 1 Se 2.90
Ho (0.7577, 0.7577, 0.7448)  5 P 2.76-2.82, 1 Se 2.90
Ho (0.9280, 0.5852, 0.2553)  5 P 2.78-2.84, 1 Se 2.90
P (0.0000, 0.0000, 0.5000)  6 Ho 2.76-2.83
P (0.1671, 0.8329, 0.0000)  6 Ho 2.82
P (0.3359, 0.6641, 0.5000)  6 Ho 2.78-2.84
P (0.6641, 0.3359, 0.5000)  6 Ho 2.78-2.84
P (0.8329, 0.1671, 0.0000)  6 Ho 2.82
Se (0.5000, 0.5000, 0.0000)  6 Ho 2.90



# 2
This record from Alexandria via LeMat-Bulk describes a relaxed Ho4PSe3 crystal. The functional is PBE.

Properties
Uncorrected formation energy in eV per formula unit: -13.9
Total moment in μB/cell: 0.00

abc: 5.7024 5.7024 5.7024
angles: 90.00 90.00 90.00
With the nearest neighbours (Å) after each atom.
Positions (direct):
Ho (0.0000, 0.0000, 0.0000)  6 Se 2.85
Ho (0.0000, 0.5000, 0.5000)  4 Se 2.85, 2 P 2.85
Ho (0.5000, 0.0000, 0.5000)  4 Se 2.85, 2 P 2.85
Ho (0.5000, 0.5000, 0.0000)  4 Se 2.85, 2 P 2.85
P (0.5000, 0.5000, 0.5000)  6 Ho 2.85
Se (0.0000, 0.0000, 0.5000)  6 Ho 2.85
Se (0.0000, 0.5000, 0.0000)  6 Ho 2.85
Se (0.5000, 0.0000, 0.0000)  6 Ho 2.85



Please write out number 1 again, unchanged.
This record from Alexandria via LeMat-Bulk describes a relaxed Ho6P5Se crystal. The functional is PBE.

Properties
Uncorrected formation energy in eV per formula unit: -20.3
Total moment in μB/cell: 0.00

abc: 6.9237 6.9237 6.9292
angles: 99.60 99.60 119.95
With the nearest neighbours (Å) after each atom.
Positions (direct):
Ho (0.0720, 0.4148, 0.7447)  5 P 2.78-2.84, 1 Se 2.90
Ho (0.2423, 0.2423, 0.2552)  5 P 2.76-2.82, 1 Se 2.90
Ho (0.4148, 0.0720, 0.7447)  5 P 2.78-2.84, 1 Se 2.90
Ho (0.5852, 0.9280, 0.2553)  5 P 2.78-2.84, 1 Se 2.90
Ho (0.7577, 0.7577, 0.7448)  5 P 2.76-2.82, 1 Se 2.90
Ho (0.9280, 0.5852, 0.2553)  5 P 2.78-2.84, 1 Se 2.90
P (0.0000, 0.0000, 0.5000)  6 Ho 2.76-2.83
P (0.1671, 0.8329, 0.0000)  6 Ho 2.82
P (0.3359, 0.6641, 0.5000)  6 Ho 2.78-2.84
P (0.6641, 0.3359, 0.5000)  6 Ho 2.78-2.84
P (0.8329, 0.1671, 0.0000)  6 Ho 2.82
Se (0.5000, 0.5000, 0.0000)  6 Ho 2.90



Copy entry 1 word for word.
This record from Alexandria via LeMat-Bulk describes a relaxed Ho6P5Se crystal. The functional is PBE.

Properties
Uncorrected formation energy in eV per formula unit: -20.3
Total moment in μB/cell: 0.00

abc: 6.9237 6.9237 6.9292
angles: 99.60 99.60 119.95
With the nearest neighbours (Å) after each atom.
Positions (direct):
Ho (0.0720, 0.4148, 0.7447)  5 P 2.78-2.84, 1 Se 2.90
Ho (0.2423, 0.2423, 0.2552)  5 P 2.76-2.82, 1 Se 2.90
Ho (0.4148, 0.0720, 0.7447)  5 P 2.78-2.84, 1 Se 2.90
Ho (0.5852, 0.9280, 0.2553)  5 P 2.78-2.84, 1 Se 2.90
Ho (0.7577, 0.7577, 0.7448)  5 P 2.76-2.82, 1 Se 2.90
Ho (0.9280, 0.5852, 0.2553)  5 P 2.78-2.84, 1 Se 2.90
P (0.0000, 0.0000, 0.5000)  6 Ho 2.76-2.83
P (0.1671, 0.8329, 0.0000)  6 Ho 2.82
P (0.3359, 0.6641, 0.5000)  6 Ho 2.78-2.84
P (0.6641, 0.3359, 0.5000)  6 Ho 2.78-2.84
P (0.8329, 0.1671, 0.0000)  6 Ho 2.82
Se (0.5000, 0.5000, 0.0000)  6 Ho 2.90